Computed, not measured: La2Pm2PrY2 after structural relaxation at the PBE level of DFT.

The crystal system is monoclinic.

The structure belongs to space group C2/m (No. 12); the cell edges are 11.588, 5.187 and 8.205 Å and the angles 90.00°, 98.09° and 90.00°. The inequivalent atoms are La at (0.143, 0.000, 0.429), Pm at (0.071, 0.500, 0.717), Pr at (0.000, 0.000, 0.000) and Y at (0.216, 0.500, 0.140).

Computed, not measured: La2Pm4PrY2 after structural relaxation at the PBE level of DFT.

The crystal system is monoclinic.

The structure belongs to space group C2/m (No. 12); the cell edges are 19.177, 3.695 and 9.804 Å and the angles 90.00°, 115.78° and 90.00°. The inequivalent atoms are La at (0.167, 0.000, 0.000), Pm at (0.019, 0.000, 0.337), Pm at (0.186, 0.500, 0.335), Pr at (0.000, 0.500, 0.000) and Y at (0.148, 0.500, 0.665).

Computed, not measured: La5PmPr2Y after structural relaxation at the PBE level of DFT.

The crystal system is tetragonal.

The structure belongs to space group I4/mcm (No. 140); the cell edges are 9.025, 9.025 and 16.086 Å and the angles 90.00°, 90.00° and 90.00°. The inequivalent atoms are La at (0.000, 0.000, 0.000), La at (0.213, 0.287, 0.141), Pm at (0.000, 0.000, 0.250), Pr at (0.117, 0.383, 0.500) and Y at (0.000, 0.500, 0.250).

Computed, not measured: La5PmPrY2 after structural relaxation at the PBE level of DFT.

The crystal system is tetragonal.

The structure belongs to space group I4/mcm (No. 140); the cell edges are 8.974, 8.974 and 16.099 Å and the angles 90.00°, 90.00° and 90.00°. The inequivalent atoms are La at (0.000, 0.000, 0.000), La at (0.197, 0.303, 0.141), Pm at (0.000, 0.000, 0.250), Pr at (0.000, 0.500, 0.250) and Y at (0.119, 0.381, 0.500).

Computed, not measured: LaPm3PrY after structural relaxation at the PBE level of DFT.

The crystal system is monoclinic.

The structure belongs to space group P2_1/m (No. 11); the cell edges are 8.180, 5.202 and 10.353 Å and the angles 90.00°, 108.40° and 90.00°. The inequivalent atoms are La at (0.164, 0.250, 0.290), Pm at (0.167, 0.750, 0.543), Pm at (0.169, 0.250, 0.793), Pm at (0.169, 0.750, 0.040), Pr at (0.500, 0.250, 0.627) and Y at (0.497, 0.750, 0.877).

Computed, not measured: LaPm3Pr2Y6 after structural relaxation at the PBE level of DFT.

The crystal system is monoclinic.

The structure belongs to space group C2/m (No. 12); the cell edges are 6.306, 10.922 and 11.909 Å and the angles 90.00°, 100.13° and 90.00°. The inequivalent atoms are La at (0.000, 0.000, 0.000), Pm at (0.000, 0.167, 0.500), Pm at (0.000, 0.500, 0.500), Pr at (0.000, 0.333, 0.000), Y at (0.249, 0.333, 0.748) and Y at (0.250, 0.000, 0.748).

Number 1: calculated volume 244.1 Å³/f.u., E_form 0.021 eV/atom. Number 2: calculated volume 312.8 Å³/f.u., E_form 0.000 eV/atom. Number 3: calculated volume 327.5 Å³/f.u., E_form 0.257 eV/atom. Number 4: calculated volume 324.1 Å³/f.u., E_form 0.268 eV/atom. Number 5: calculated volume 209.0 Å³/f.u., E_form 0.017 eV/atom. Number 6: calculated volume 403.8 Å³/f.u., E_form 0.009 eV/atom.